1.
Computed, not measured: an optimized crystal structure of TcMoRu2 at the GGA-PBE level of DFT.

Cell: 5.505 7.713 2.741 Å, 90.00 90.00 90.00°
Space group Cmmm (No. 65)
One atom of each set of equivalent atoms:
Tc (0.000, 0.000, 0.000) [2 per cell]
Mo (0.000, 0.500, 0.000) [2 per cell]
Ru (0.250, 0.250, 0.500) [4 per cell]

## Properties
excess energy over the best structure of this formula in the dataset	9	meV per atom
mass density	11.30	g/cm3
total energy	-9.903	eV/atom
total magnetization	0.0	μB per cell

---

2.
Computed, not measured: an optimized crystal structure of Tc4MoRu3 at the GGA-PBE level of DFT.

Cell: 9.183 4.772 5.529 Å, 90.00 107.42 90.00°
Space group C2 (No. 5)
One atom of each set of equivalent atoms:
Tc (0.005, 0.000, 0.250) [4 per cell]
Tc (0.248, 0.837, 0.627) [4 per cell]
Mo (0.000, 0.493, 0.500) [2 per cell]
Ru (0.000, 0.503, 0.000) [2 per cell]
Ru (0.249, 0.330, 0.877) [4 per cell]

## Properties
mass density	11.37	g/cm3
total energy	-10.035	eV/atom
total magnetization	0.0	μB per cell

---

3.
Computed, not measured: an optimized crystal structure of TcMoRu4 at the GGA-PBE level of DFT.

Cell: 7.113 7.113 7.113 Å, 90.00 90.00 90.00°
Space group F-43m (No. 216)
One atom of each set of equivalent atoms:
Tc (0.000, 0.000, 0.000) [4 per cell]
Mo (0.250, 0.250, 0.250) [4 per cell]
Ru (0.125, 0.125, 0.625) [16 per cell]

## Properties
excess energy over the best structure of this formula in the dataset	433	meV per atom
mass density	11.04	g/cm3
total energy	-9.314	eV/atom
total magnetization	0.0	μB per cell

---

4.
Computed, not measured: an optimized crystal structure of TcMoRu at the GGA-PBE level of DFT.

Cell: 4.3628 4.3628 2.7180 Å, 90.00 90.00 120.00°
Space group P-6m2 (No. 187)
One atom of each set of equivalent atoms:
Tc (0.0000, 0.0000, 0.0000) [1 per cell]
Mo (0.3333, 0.6667, 0.0000) [1 per cell]
Ru (0.6667, 0.3333, 0.5000) [1 per cell]

## Properties
excess energy over the best structure of this formula in the dataset	86	meV per atom
mass density	10.93	g/cm3
total energy	-10.020	eV/atom
total magnetization	0.0	μB per cell

---

5.
Computed, not measured: an optimized crystal structure of TcMoRu at the GGA-PBE level of DFT.

Cell: 5.934 5.934 5.934 Å, 90.00 90.00 90.00°
Space group F-43m (No. 216)
One atom of each set of equivalent atoms:
Tc (0.000, 0.000, 0.000) [4 per cell]
Mo (0.000, 0.000, 0.500) [4 per cell]
Ru (0.250, 0.250, 0.750) [4 per cell]

## Properties
excess energy over the best structure of this formula in the dataset	681	meV per atom
mass density	9.38	g/cm3
total energy	-9.426	eV/atom
total magnetization	0.0	μB per cell

---

6.
Computed, not measured: an optimized crystal structure of TcMoRu2 at the GGA-PBE level of DFT.

Cell: 3.206 3.206 5.803 Å, 90.00 90.00 90.00°
Space group P4mm (No. 99)
One atom of each set of equivalent atoms:
Tc (0.000, 0.000, 0.000) [1 per cell]
Mo (0.500, 0.500, 0.276) [1 per cell]
Ru (0.000, 0.000, 0.484) [1 per cell]
Ru (0.500, 0.500, 0.764) [1 per cell]

## Properties
excess energy over the best structure of this formula in the dataset	265	meV per atom
mass density	11.03	g/cm3
total energy	-9.648	eV/atom
total magnetization	0.0	μB per cell

---

7.
Computed, not measured: an optimized crystal structure of Tc4Mo2Ru3 at the GGA-PBE level of DFT.

Cell: 9.052 12.104 5.030 Å, 90.00 100.81 90.00°
Space group C2/c (No. 15)
One atom of each set of equivalent atoms:
Tc (0.096, 0.078, 0.039) [8 per cell]
Tc (0.136, 0.496, 0.131) [8 per cell]
Mo (0.143, 0.307, 0.852) [8 per cell]
Ru (0.000, 0.286, 0.250) [4 per cell]
Ru (0.199, 0.147, 0.559) [8 per cell]

## Properties
mass density	10.88	g/cm3
total energy	-9.876	eV/atom
total magnetization	0.0	μB per cell

---

8.
Computed, not measured: an optimized crystal structure of Tc3MoRu at the GGA-PBE level of DFT.

Cell: 4.573 4.573 4.573 Å, 90.00 90.00 90.00°
Space group Pm-3m (No. 221)
One atom of each set of equivalent atoms:
Tc (0.000, 0.000, 0.500) [3 per cell]
Mo (0.000, 0.000, 0.000) [1 per cell]
Ru (0.500, 0.500, 0.500) [1 per cell]

## Properties
excess energy over the best structure of this formula in the dataset	37	meV per atom
mass density	8.52	g/cm3
total energy	-8.284	eV/atom
total magnetization	0.0	μB per cell